Dy6Si2SbSe3 | PBE | optimized geometry

Cell and atoms, written as POSCAR:
```
Dy6Si2SbSe3
1.0
9.0634 -2.0785 0.0000
9.0634 2.0785 0.0000
-1.8824 0.0000 8.1410
Dy Si Sb Se
6 2 1 3
Direct
0.0064 0.0064 0.2608
0.3291 0.3291 0.4240
0.3292 0.3292 0.8988
0.6708 0.6708 0.1012
0.6709 0.6709 0.5760
0.9936 0.9936 0.7392
0.1673 0.1673 0.3355
0.8327 0.8327 0.6645
0.5000 0.5000 0.0000
0.1643 0.1643 0.8342
0.5000 0.5000 0.5000
0.8357 0.8357 0.1658
```

Calculated values
crystal system	monoclinic
total DFT energy (no corrections)	-5.784	eV per atom
symmetry	C2/m, No. 12

---

SmDySbSe | PBE | optimized geometry

Cell and atoms, written as POSCAR:
```
SmDySbSe
1.0
4.3045 0.0000 0.0000
0.0000 4.3045 0.0000
0.0000 0.0000 6.0451
Sm Dy Sb Se
1 1 1 1
Direct
0.0000 0.0000 0.0000
0.5000 0.5000 0.5000
0.5000 0.5000 0.0000
0.0000 0.0000 0.5000
```

Calculated values
crystal system	tetragonal
total DFT energy (no corrections)	-5.677	eV per atom
symmetry	P4/mmm, No. 123

---

Q: Which formula does entry 2 have?
A: SmDySbSe

---

Q: The highest total DFT energy (no corrections) belongs to which entry?
A: SmDySbSe

---

Repeat the first record exactly.
Dy6Si2SbSe3 | PBE | optimized geometry

Cell and atoms, written as POSCAR:
```
Dy6Si2SbSe3
1.0
9.0634 -2.0785 0.0000
9.0634 2.0785 0.0000
-1.8824 0.0000 8.1410
Dy Si Sb Se
6 2 1 3
Direct
0.0064 0.0064 0.2608
0.3291 0.3291 0.4240
0.3292 0.3292 0.8988
0.6708 0.6708 0.1012
0.6709 0.6709 0.5760
0.9936 0.9936 0.7392
0.1673 0.1673 0.3355
0.8327 0.8327 0.6645
0.5000 0.5000 0.0000
0.1643 0.1643 0.8342
0.5000 0.5000 0.5000
0.8357 0.8357 0.1658
```

Calculated values
crystal system	monoclinic
total DFT energy (no corrections)	-5.784	eV per atom
symmetry	C2/m, No. 12

---

Q: Which of these has the lowest total DFT energy (no corrections)?
A: Dy6Si2SbSe3